! TiCS2, optimized geometry, DFT GGA-PBE; values from VASP
! Calculated total energy in eV/cell: -46.50
! M_tot in μB per cell: 0.0
! Formation energy (no corrections) in eV/atom: 0.531
! Calculated density in g/cm³: 3.37
&SYSTEM
  ibrav = 0, nat = 8, ntyp = 3
/
ATOMIC_SPECIES
Ti 47.87 Ti.upf
C 12.01 C.upf
S 32.06 S.upf
CELL_PARAMETERS angstrom
-2.562 2.562 4.662
2.562 -2.562 4.662
2.562 2.562 -4.662
ATOMIC_POSITIONS angstrom
Ti 0.000 0.000 0.000
Ti 0.000 2.562 2.331
C 2.562 0.000 2.331
C 0.000 0.000 4.662
S 1.281 -0.959 3.496
S 1.603 1.281 1.165
S 1.281 3.521 -1.165
S 0.959 1.281 5.827